! SrAcSnPb (PBE, relaxed); values from VASP
&SYSTEM
  ibrav = 0, nat = 4, ntyp = 4
/
ATOMIC_SPECIES
Ac 227.00 Ac.upf
Pb 207.20 Pb.upf
Sn 118.71 Sn.upf
Sr 87.62 Sr.upf
CELL_PARAMETERS angstrom
-2.2577 -0.5279 -4.4837
-3.8988 -1.2018 2.1047
-0.6217 6.2521 2.4183
ATOMIC_POSITIONS crystal
Ac 0.8633 0.5000 0.7266
Pb 0.5847 0.5000 0.1694
Sn 0.4152 0.0000 0.8304
Sr 0.1369 0.0000 0.2737
! - Formation energy: -58 kJ/mol of atoms
! - Space group: Amm2

! SrAcSnPb (PBE, relaxed); values from VASP
&SYSTEM
  ibrav = 0, nat = 4, ntyp = 4
/
ATOMIC_SPECIES
Sr 87.62 Sr.upf
Ac 227.00 Ac.upf
Sn 118.71 Sn.upf
Pb 207.20 Pb.upf
CELL_PARAMETERS angstrom
-4.9546 -2.6966 1.4177
-0.0763 -3.8326 4.3744
-2.7084 1.3193 4.9754
ATOMIC_POSITIONS crystal
Sr 0.5000 0.5000 0.5000
Ac 0.0000 0.0000 0.0000
Sn 0.2500 0.2500 0.2500
Pb 0.7500 0.7500 0.7500
! - Formation energy: -50 kJ/mol of atoms
! - Space group: F-43m

! AcTlSnPb (PBE, relaxed); values from VASP
&SYSTEM
  ibrav = 0, nat = 4, ntyp = 4
/
ATOMIC_SPECIES
Sn 118.71 Sn.upf
Tl 204.38 Tl.upf
Pb 207.20 Pb.upf
Ac 227.00 Ac.upf
CELL_PARAMETERS angstrom
5.0964 0.0000 0.0000
0.0000 4.9949 0.0000
0.0000 0.0000 4.9099
ATOMIC_POSITIONS crystal
Sn 0.0000 0.0000 0.0000
Tl 0.5000 0.5000 0.0000
Pb 0.0000 0.5000 0.5000
Ac 0.5000 0.0000 0.5000
! - Formation energy: -41 kJ/mol of atoms
! - Space group: Pmmm

! AcTlSnPb (PBE, relaxed); values from VASP
&SYSTEM
  ibrav = 0, nat = 4, ntyp = 4
/
ATOMIC_SPECIES
Ac 227.00 Ac.upf
Pb 207.20 Pb.upf
Tl 204.38 Tl.upf
Sn 118.71 Sn.upf
CELL_PARAMETERS angstrom
5.6869 0.0000 0.0000
2.8434 4.9250 0.0000
2.8434 1.6417 4.6433
ATOMIC_POSITIONS crystal
Ac 0.0000 0.0000 0.0000
Pb 0.5000 0.5000 0.5000
Tl 0.7500 0.7500 0.7500
Sn 0.2500 0.2500 0.2500
! - Formation energy: -25 kJ/mol of atoms
! - Space group: F-43m

! AcZnSnPb (PBE, relaxed); values from VASP
&SYSTEM
  ibrav = 0, nat = 4, ntyp = 4
/
ATOMIC_SPECIES
Ac 227.00 Ac.upf
Zn 65.41 Zn.upf
Sn 118.71 Sn.upf
Pb 207.20 Pb.upf
CELL_PARAMETERS angstrom
-2.4213 -1.0886 -4.8540
-1.9403 -5.0743 -1.0471
-5.4569 -0.8813 -0.2332
ATOMIC_POSITIONS crystal
Ac 0.0000 0.0000 0.0000
Zn 0.7500 0.7500 0.7500
Sn 0.2500 0.2500 0.2500
Pb 0.5000 0.5000 0.5000
! - Formation energy: -23 kJ/mol of atoms
! - Space group: F-43m

! Sr2Ac3Pb3 (PBE, relaxed); values from VASP
&SYSTEM
  ibrav = 0, nat = 8, ntyp = 3
/
ATOMIC_SPECIES
Ac 227.00 Ac.upf
Sr 87.62 Sr.upf
Pb 207.20 Pb.upf
CELL_PARAMETERS angstrom
-4.2642 -1.2729 1.0816
2.0226 -3.6611 3.6656
0.7886 10.8517 6.1843
ATOMIC_POSITIONS crystal
Ac 0.3851 0.3851 0.7702
Ac 0.6149 0.6149 0.2298
Ac 0.5000 0.0000 0.0000
Sr 0.7376 0.2376 0.4752
Sr 0.2624 0.7624 0.5248
Pb 0.8671 0.8671 0.7343
Pb 0.1329 0.1329 0.2657
Pb 0.0000 0.5000 0.0000
! - Formation energy: -34 kJ/mol of atoms
! - Space group: Immm

! SrAc4Pb5 (PBE, relaxed); values from VASP
&SYSTEM
  ibrav = 0, nat = 10, ntyp = 3
/
ATOMIC_SPECIES
Pb 207.20 Pb.upf
Ac 227.00 Ac.upf
Sr 87.62 Sr.upf
CELL_PARAMETERS angstrom
-2.3800 -2.9640 -0.6803
1.9430 -2.1467 2.5553
-14.3545 7.5627 17.2682
ATOMIC_POSITIONS crystal
Pb 0.5000 0.5000 0.7004
Pb 0.5000 0.5000 0.5000
Pb 0.5000 0.5000 0.9009
Pb 0.5000 0.5000 0.0991
Pb 0.5000 0.5000 0.2996
Ac 0.0000 0.0000 0.1984
Ac 0.0000 0.0000 0.6000
Ac 0.0000 0.0000 0.8016
Ac 0.0000 0.0000 0.4000
Sr 0.0000 0.0000 0.0000
! - Formation energy: -48 kJ/mol of atoms
! - Space group: P4/mmm

! SrAc12Pb7 (PBE, relaxed); values from VASP
&SYSTEM
  ibrav = 0, nat = 20, ntyp = 3
/
ATOMIC_SPECIES
Pb 207.20 Pb.upf
Ac 227.00 Ac.upf
Sr 87.62 Sr.upf
CELL_PARAMETERS angstrom
10.3888 -0.4676 -0.7019
-3.3379 9.8490 -0.7019
-3.3379 -4.4412 8.8188
ATOMIC_POSITIONS crystal
Pb 0.1368 0.4612 0.1368
Pb 0.8632 0.8632 0.5388
Pb 0.5000 0.5000 0.5000
Pb 0.5388 0.8632 0.8632
Pb 0.1368 0.1368 0.4612
Pb 0.8632 0.5388 0.8632
Pb 0.4612 0.1368 0.1368
Ac 0.1635 0.4832 0.4832
Ac 0.5168 0.8365 0.5168
Ac 0.0000 0.2709 0.7291
Ac 0.4832 0.4832 0.1635
Ac 0.0000 0.7291 0.2709
Ac 0.2709 0.7291 0.0000
Ac 0.4832 0.1635 0.4832
Ac 0.8365 0.5168 0.5168
Ac 0.7291 0.2709 0.0000
Ac 0.7291 0.0000 0.2709
Ac 0.5168 0.5168 0.8365
Ac 0.2709 0.0000 0.7291
Sr 0.0000 0.0000 0.0000
! - Formation energy: -30 kJ/mol of atoms
! - Space group: R-3m

! Sr4AcPb5 (PBE, relaxed); values from VASP
&SYSTEM
  ibrav = 0, nat = 10, ntyp = 3
/
ATOMIC_SPECIES
Sr 87.62 Sr.upf
Pb 207.20 Pb.upf
Ac 227.00 Ac.upf
CELL_PARAMETERS angstrom
-0.4903 -1.0198 3.5942
3.7014 0.3603 0.6072
-3.2737 23.2611 6.1530
ATOMIC_POSITIONS crystal
Sr 0.0000 0.0000 0.6003
Sr 0.0000 0.0000 0.3997
Sr 0.0000 0.0000 0.2003
Sr 0.0000 0.0000 0.7997
Pb 0.5000 0.5000 0.8999
Pb 0.5000 0.5000 0.7004
Pb 0.5000 0.5000 0.2996
Pb 0.5000 0.5000 0.1001
Pb 0.5000 0.5000 0.5000
Ac 0.0000 0.0000 0.0000
! - Formation energy: -49 kJ/mol of atoms
! - Space group: P4/mmm

! SrAcPb2 (PBE, relaxed); values from VASP
&SYSTEM
  ibrav = 0, nat = 8, ntyp = 3
/
ATOMIC_SPECIES
Ac 227.00 Ac.upf
Pb 207.20 Pb.upf
Sr 87.62 Sr.upf
CELL_PARAMETERS angstrom
-2.4666 2.9828 2.6180
-5.4975 -1.3595 -3.6306
-2.1854 -7.0184 5.9372
ATOMIC_POSITIONS crystal
Ac 0.0000 0.1344 0.6862
Ac 0.0000 0.8656 0.1862
Pb 0.0000 0.3944 0.0370
Pb 0.0000 0.6056 0.5370
Pb 0.5000 0.0908 0.9623
Pb 0.5000 0.9092 0.4623
Sr 0.5000 0.3737 0.3146
Sr 0.5000 0.6263 0.8146
! - Formation energy: -50 kJ/mol of atoms
! - Space group: Pmc2_1

! SrAcPb2 (PBE, relaxed); values from VASP
&SYSTEM
  ibrav = 0, nat = 4, ntyp = 3
/
ATOMIC_SPECIES
Pb 207.20 Pb.upf
Sr 87.62 Sr.upf
Ac 227.00 Ac.upf
CELL_PARAMETERS angstrom
4.6732 0.0000 0.0000
0.0000 5.4962 0.0000
0.0000 0.0000 5.4962
ATOMIC_POSITIONS crystal
Pb 0.0000 0.0000 0.5000
Pb 0.0000 0.5000 0.0000
Sr 0.5000 0.5000 0.5000
Ac 0.5000 0.0000 0.0000
! - Formation energy: -48 kJ/mol of atoms
! - Space group: P4/mmm

! SrAc2Pb3 (PBE, relaxed); values from VASP
&SYSTEM
  ibrav = 0, nat = 6, ntyp = 3
/
ATOMIC_SPECIES
Pb 207.20 Pb.upf
Ac 227.00 Ac.upf
Sr 87.62 Sr.upf
CELL_PARAMETERS angstrom
4.7035 0.0000 0.0000
0.0000 5.1764 -1.7137
0.0000 0.0104 8.7065
ATOMIC_POSITIONS crystal
Pb 0.5000 0.8341 0.6681
Pb 0.5000 0.5000 0.0000
Pb 0.5000 0.1659 0.3319
Ac 0.0000 0.6640 0.3280
Ac 0.0000 0.3360 0.6720
Sr 0.0000 0.0000 0.0000
! - Formation energy: -48 kJ/mol of atoms
! - Space group: Cmmm